(1)
Density functional theory data (PBE) for a relaxed structure of HfGaMo2.

Results
The value obtained for the formation energy is 0.513 eV per atom. As for the space group: No. 122. The value obtained for the mass density is 10.06 g/cm3.

```
HfGaMo2
1.0
7.3611 0.0000 0.0000
0.0000 7.3611 0.0000
0.0000 0.0000 5.3638
Hf Ga Mo
4 4 8
Cartesian
0.0000 0.0000 0.0000
0.0000 3.6805 1.3409
3.6805 0.0000 4.0228
3.6805 3.6805 2.6819
0.0000 0.0000 2.6819
0.0000 3.6805 4.0228
3.6805 0.0000 1.3409
3.6805 3.6805 0.0000
1.6034 1.8403 3.3524
1.8403 5.2839 4.6933
1.8403 5.7577 2.0114
2.0771 1.8403 0.6705
5.2839 5.5208 0.6705
5.5208 1.6034 2.0114
5.5208 2.0771 4.6933
5.7577 5.5208 3.3524
```



(2)
Density functional theory data (PBE) for a relaxed structure of Hf2GaMo.

Results
The value obtained for the formation energy is 0.366 eV per atom. As for the space group: No. 122. The value obtained for the mass density is 10.96 g/cm3.

```
Hf2GaMo
1.0
7.5172 0.0000 0.0000
0.0000 7.5172 0.0000
0.0000 0.0000 5.6067
Hf Ga Mo
8 4 4
Cartesian
1.7988 1.8793 0.7008
1.8793 5.5574 2.1025
1.8793 5.7184 4.9059
1.9598 1.8793 3.5042
5.5574 5.6379 3.5042
5.6379 1.7988 4.9059
5.6379 1.9598 2.1025
5.7184 5.6379 0.7008
0.0000 0.0000 2.8033
0.0000 3.7586 4.2050
3.7586 0.0000 1.4017
3.7586 3.7586 0.0000
0.0000 0.0000 0.0000
0.0000 3.7586 1.4017
3.7586 0.0000 4.2050
3.7586 3.7586 2.8033
```



(3)
Density functional theory data (PBE) for a relaxed structure of Hf3GaMo.

Results
The value obtained for the formation energy is 0.994 eV per atom. For the energy relative to the lowest polymorph listed for this composition, the calculation gives 0.93 eV/f.u. As for the space group: No. 221. The value obtained for the mass density is 10.09 g/cm3.

```
Hf3GaMo
1.0
4.8692 0.0000 0.0000
0.0000 4.8692 0.0000
0.0000 0.0000 4.8692
Hf Ga Mo
3 1 1
Cartesian
0.0000 0.0000 2.4346
0.0000 2.4346 0.0000
2.4346 0.0000 0.0000
0.0000 0.0000 0.0000
2.4346 2.4346 2.4346
```



Question: What is the mass density in the third record?
Answer: 10.09 g/cm3



Question: What is the formula in the first record?
Answer: HfGaMo2